The following is a DFT calculation (GGA-PBE) of a relaxed structure of LaPr2Zn4Si4.

Cell: 12.787 12.787 12.787 Å, 161.07 160.94 26.99°
Atoms (fractional coordinates):
1 La 0.000 0.000 0.000
2 Pr 0.145 0.645 0.500
3 Pr 0.855 0.355 0.500
4 Zn 0.250 0.250 0.000
5 Zn 0.405 0.905 0.500
6 Zn 0.595 0.095 0.500
7 Zn 0.750 0.750 0.000
8 Si 0.309 0.809 0.500
9 Si 0.452 0.452 0.000
10 Si 0.548 0.548 0.000
11 Si 0.691 0.191 0.500

Values from the calculation:
Magnetic moment: 0.0 μB/f.u.
E_tot: -0.31741 Ry per atom
SG: Immm, No. 71
Density: 6.0 g cm⁻³